[1]
# NiOs2S2

A relaxed structure of NiOs2S2 (PBE, Alexandria via LeMat-Bulk).

Unit cell a=4.0157 b=4.0157 c=5.6313 alpha=69.11 beta=69.11 gamma=90.00
Positions (direct):
S 0.3689 0.3689 0.2622
S 0.6311 0.6311 0.7378
Os 0.2500 0.7500 0.5000
Os 0.7500 0.2500 0.5000
Ni 0.0000 0.0000 0.0000

Values from the calculation:
Magnetization = 0.000 μB per atom
Energy relative to the elements, uncorrected = 550 meV/atom
E above lowest polymorph = 0.00 kJ per mole of atoms
Theoretical density = 10.66 Mg/m³

[2]
# NiOs3S

A relaxed structure of NiOs3S (PBE, Alexandria via LeMat-Bulk).

Unit cell a=4.3009 b=4.3009 c=4.3009 alpha=90.00 beta=90.00 gamma=90.00
Site moments in Bohr magnetons follow the coordinates.
Positions (direct):
Os 0.0000 0.5000 0.0000  0.33
Os 0.0000 0.0000 0.5000  0.23
Os 0.5000 0.0000 0.0000  0.47
Ni 0.5000 0.5000 0.5000  0.86
S 0.0000 0.0000 0.0000  -0.01

Values from the calculation:
Magnetization = 0.365 μB per atom
Energy relative to the elements, uncorrected = 1296 meV/atom
E above lowest polymorph = 0.00 kJ per mole of atoms
Theoretical density = 13.81 Mg/m³

[3]
# NiOs2S

A relaxed structure of NiOs2S (PBE, Alexandria via LeMat-Bulk).

Unit cell a=5.0825 b=5.0825 c=6.5704 alpha=67.25 beta=67.25 gamma=90.00
Positions (direct):
Os 0.6050 0.1250 0.2500
Os 0.8750 0.8550 0.7500
Os 0.1450 0.6250 0.2500
Os 0.3750 0.3950 0.7500
S 0.5000 0.5000 0.0000
S 0.2500 0.7500 0.5000
Ni 0.0000 0.0000 0.0000
Ni 0.7500 0.2500 0.5000

Values from the calculation:
Magnetization = 0.000 μB per atom
Energy relative to the elements, uncorrected = 930 meV/atom
Theoretical density = 11.01 Mg/m³

[4]
# NiOsS4

A relaxed structure of NiOsS4 (PBE, Alexandria via LeMat-Bulk).

Unit cell a=5.6809 b=5.6672 c=5.6009 alpha=90.00 beta=90.58 gamma=90.00
Positions (direct):
S 0.8961 0.1110 0.3905
S 0.8850 0.6142 0.1115
S 0.6039 0.6110 0.6095
S 0.1039 0.8890 0.6095
S 0.3961 0.3890 0.3905
S 0.3850 0.8858 0.1115
S 0.6150 0.1142 0.8885
S 0.1150 0.3858 0.8885
Ni 0.0000 0.5000 0.5000
Ni 0.5000 0.0000 0.5000
Os 0.0000 0.0000 0.0000
Os 0.5000 0.5000 0.0000

Values from the calculation:
Magnetization = 0.000 μB per atom
Energy relative to the elements, uncorrected = -288 meV/atom
Theoretical density = 6.95 Mg/m³

[5]
# Ni2OsS

A relaxed structure of Ni2OsS (PBE, Alexandria via LeMat-Bulk).

Unit cell a=6.5932 b=6.5932 c=5.2167 alpha=50.81 beta=50.81 gamma=90.00
Site moments in Bohr magnetons follow the coordinates.
Positions (direct):
Ni 0.8750 0.8320 0.7500  0.01
Ni 0.3750 0.4180 0.7500  0.01
Ni 0.5820 0.1250 0.2500  -0.01
Ni 0.1680 0.6250 0.2500  -0.01
Os 0.7500 0.2500 0.5000  0.42
Os 0.0000 0.0000 0.0000  0.42
S 0.2500 0.7500 0.5000  0.00
S 0.5000 0.5000 0.0000  0.00

Values from the calculation:
Magnetization = 0.110 μB per atom
Energy relative to the elements, uncorrected = 319 meV/atom
Theoretical density = 11.09 Mg/m³

[6]
# NiOs3S

A relaxed structure of NiOs3S (PBE, Alexandria via LeMat-Bulk).

Unit cell a=4.4490 b=4.4490 c=4.4490 alpha=90.00 beta=90.00 gamma=90.00
Site moments in Bohr magnetons follow the coordinates.
Positions (direct):
Ni 0.0000 0.0000 0.0000  0.58
Os 0.0000 0.5000 0.0000  0.71
Os 0.0000 0.0000 0.5000  0.82
Os 0.5000 0.0000 0.0000  0.46
S 0.5000 0.5000 0.5000  0.01

Values from the calculation:
Magnetization = 0.543 μB per atom
Energy relative to the elements, uncorrected = 2354 meV/atom
E above lowest polymorph = 102.07 kJ per mole of atoms
Theoretical density = 12.47 Mg/m³

Question: energy relative to the elements, uncorrected of number 3 (NiOs2S)?
Answer: 930 meV/atom